Below is a geometry-optimized CsK2TiBr8 structure, with properties calculated at the PBE level.

Computed properties:
Space group = P-1, No. 2

a = 7.3494 Å, b = 6.0479 Å, c = 9.8258 Å
α = 72.53°, β = 89.96°, γ = 89.84°
Sites, in units of the cell vectors:
Cs1 0.0000 0.0000 0.5000
K1 0.4985 0.3325 0.8154
K2 0.5015 0.6675 0.1846
Ti1 0.0000 0.0000 0.0000
Br1 0.9995 0.6536 0.2235
Br2 0.7569 0.8214 0.8844
Br3 0.7557 0.1805 0.1146
Br4 0.0005 0.3464 0.7765
Br5 0.2431 0.1786 0.1156
Br6 0.2443 0.8195 0.8854
Br7 0.5001 0.7520 0.5025
Br8 0.4999 0.2480 0.4975

Below is a geometry-optimized CsKTi2Br8 structure, with properties calculated at the PBE level.

Computed properties:
Space group = R-3, No. 148

a = 7.3736 Å, b = 7.3736 Å, c = 11.2743 Å
α = 70.91°, β = 70.91°, γ = 60.00°
Site moments in Bohr magnetons follow the coordinates.
Sites, in units of the cell vectors:
Cs1 0.5000 0.5000 0.5000  0.00
K1 0.0000 0.0000 0.0000  0.00
Ti1 0.2456 0.2456 0.2633  0.91
Ti2 0.7544 0.7544 0.7367  0.91
Br1 0.1682 0.1682 0.4953  -0.01
Br2 0.5604 0.3124 0.1902  -0.01
Br3 0.8318 0.8318 0.5047  -0.01
Br4 0.9371 0.5604 0.1902  -0.01
Br5 0.0629 0.4396 0.8098  -0.01
Br6 0.3124 0.9371 0.1902  -0.01
Br7 0.6876 0.0629 0.8098  -0.01
Br8 0.4396 0.6876 0.8098  -0.01

Below is a geometry-optimized CsKTlBr4 structure, with properties calculated at the PBE level.

Computed properties:
Space group = Cmcm, No. 63

a = 8.1205 Å, b = 8.1720 Å, c = 9.8179 Å
α = 90.00°, β = 114.43°, γ = 90.00°
Sites, in units of the cell vectors:
Cs1 0.1071 0.2500 0.2143
Cs2 0.8929 0.7500 0.7857
K1 0.6092 0.7500 0.2184
K2 0.3908 0.2500 0.7816
Tl1 0.2542 0.7500 0.5083
Tl2 0.7458 0.2500 0.4917
Br1 0.9122 0.2500 0.8245
Br2 0.4244 0.7500 0.8489
Br3 0.0878 0.7500 0.1755
Br4 0.5756 0.2500 0.1511
Br5 0.5000 0.5000 0.5000
Br6 0.0000 0.0000 0.5000
Br7 0.5000 0.0000 0.5000
Br8 0.0000 0.5000 0.5000

Below is a geometry-optimized Cs3K2TlBr6 structure, with properties calculated at the PBE level.

Computed properties:
Space group = C2/m, No. 12

a = 4.9726 Å, b = 9.9758 Å, c = 11.1420 Å
α = 103.20°, β = 102.89°, γ = 90.00°
Sites, in units of the cell vectors:
Cs1 0.5000 0.5000 0.0000
Cs2 0.8343 0.1664 0.6687
Cs3 0.1657 0.8336 0.3313
K1 0.8329 0.6666 0.6659
K2 0.1671 0.3334 0.3341
Tl1 0.5000 0.0000 0.0000
Br1 0.3377 0.9021 0.6755
Br2 0.6720 0.5697 0.3441
Br3 0.6623 0.0979 0.3245
Br4 0.0063 0.2385 0.0126
Br5 0.9937 0.7615 0.9874
Br6 0.3280 0.4303 0.6559

Below is a geometry-optimized Cs2KTlBr4 structure, with properties calculated at the PBE level.

Computed properties:
Space group = P2/m, No. 10

a = 4.9859 Å, b = 8.6321 Å, c = 8.6129 Å
α = 70.54°, β = 90.00°, γ = 90.00°
Sites, in units of the cell vectors:
Cs1 0.0000 0.0000 0.0000
Cs2 0.5000 0.0000 0.5000
K1 0.0000 0.5000 0.5000
Tl1 0.5000 0.5000 0.0000
Br1 0.0000 0.7267 0.7557
Br2 0.0000 0.2733 0.2443
Br3 0.5000 0.7259 0.2597
Br4 0.5000 0.2741 0.7403

Below is a geometry-optimized Cs2KTl2Br7 structure, with properties calculated at the PBE level.

Computed properties:
Space group = C2/m, No. 12

a = 5.8153 Å, b = 5.8153 Å, c = 15.4684 Å
α = 79.23°, β = 79.23°, γ = 90.00°
Sites, in units of the cell vectors:
Cs1 0.8194 0.8194 0.3607
Cs2 0.1806 0.1806 0.6393
K1 0.0000 0.0000 0.0000
Tl1 0.5997 0.5997 0.8006
Tl2 0.4003 0.4003 0.1994
Br1 0.5000 0.5000 0.0000
Br2 0.3027 0.3027 0.3969
Br3 0.6973 0.6973 0.6031
Br4 0.9052 0.4044 0.1895
Br5 0.4044 0.9052 0.1895
Br6 0.5956 0.0948 0.8105
Br7 0.0948 0.5956 0.8105

Below is a geometry-optimized Cs2KTl3Br6 structure, with properties calculated at the PBE level.

Computed properties:
Space group = C2/m, No. 12

a = 4.9241 Å, b = 9.8253 Å, c = 10.9919 Å
α = 102.10°, β = 102.94°, γ = 90.00°
Sites, in units of the cell vectors:
Cs1 0.8338 0.6748 0.6676
Cs2 0.1662 0.3252 0.3324
K1 0.5000 0.0000 0.0000
Tl1 0.5000 0.5000 0.0000
Tl2 0.8374 0.1687 0.6747
Tl3 0.1626 0.8313 0.3253
Br1 0.3397 0.9418 0.6794
Br2 0.6605 0.5903 0.3210
Br3 0.6603 0.0582 0.3206
Br4 0.9941 0.2426 0.9882
Br5 0.0059 0.7574 0.0118
Br6 0.3395 0.4097 0.6790

Below is a geometry-optimized CsKTl2Br8 structure, with properties calculated at the PBE level.

Computed properties:
Space group = I-4, No. 82

a = 7.5735 Å, b = 7.5735 Å, c = 10.3220 Å
α = 111.52°, β = 111.52°, γ = 90.00°
Sites, in units of the cell vectors:
Cs1 0.7500 0.2500 0.5000
K1 0.0000 0.0000 0.0000
Tl1 0.5000 0.5000 0.0000
Tl2 0.2500 0.7500 0.5000
Br1 0.7402 0.8260 0.1593
Br2 0.4191 0.3333 0.1593
Br3 0.5818 0.6933 0.6714
Br4 0.0896 0.9781 0.6714
Br5 0.0219 0.4182 0.3286
Br6 0.3067 0.9104 0.3286
Br7 0.1740 0.5809 0.8407
Br8 0.6667 0.2598 0.8407

Number 1: raw formation energy -1.370 eV per atom. Number 2: raw formation energy -1.354 eV per atom. Number 3: raw formation energy -1.240 eV per atom. Number 4: raw formation energy -1.612 eV per atom. Number 5: raw formation energy -1.539 eV per atom. Number 6: raw formation energy -1.174 eV per atom. Number 7: raw formation energy -1.308 eV per atom. Number 8: raw formation energy -0.938 eV per atom.